Record 1
Entry from the Alexandria database: a geometry-optimized Ho4Er5Sc structure (PBE-GGA).

Cell lengths 3.4844, 6.9801, 12.5601 Å; angles 97.90, 97.96, 90.07 degrees
Last column: nearest neighbours and their distance in Å.
Sites, in units of the cell vectors:
Ho  0.0982  0.2957  0.1961  2 Sc 3.44, 4 Ho 3.45-3.53, 6 Er 3.46-3.52
Ho  0.0986  0.8020  0.1961  2 Sc 3.44, 4 Ho 3.45-3.53, 6 Er 3.46-3.52
Ho  0.9014  0.1980  0.8039  2 Sc 3.44, 4 Ho 3.45-3.53, 6 Er 3.46-3.52
Ho  0.9018  0.7043  0.8039  2 Sc 3.44, 4 Ho 3.45-3.53, 6 Er 3.46-3.52
Er  0.3000  0.9000  0.6004  8 Er 3.48-3.51, 4 Ho 3.50-3.51
Er  0.3006  0.4007  0.6014  8 Er 3.48-3.51, 4 Ho 3.52
Er  0.5000  0.5000  0.0000  8 Ho 3.46, 2 Er 3.48, 2 Sc 3.49
Er  0.6994  0.5993  0.3986  8 Er 3.48-3.51, 4 Ho 3.52
Er  0.7000  0.1000  0.3996  8 Er 3.48-3.51, 4 Ho 3.50-3.51
Sc  0.5000  0.0000  0.0000  8 Ho 3.44, 2 Sc 3.48, 2 Er 3.49

Summary:
- Symmetry: P-1 (2)
- E: -47.2 eV/cell
- Total moment: 0.0000 μB per atom
- DOS(E_F): 13.627 states/eV per cell

=====

Record 2
Entry from the Alexandria database: a geometry-optimized TmCoOs structure (PBE-GGA).

Cell lengths 4.5938, 4.5938, 5.2584 Å; angles 90.00, 90.00, 116.62 degrees
Last column: nearest neighbours and their distance in Å.
Sites, in units of the cell vectors:
Tm  0.1565  0.8435  0.7500  5 Co 2.65-2.76
Tm  0.8435  0.1565  0.2500  5 Co 2.65-2.76
Co  0.1971  0.8029  0.2500  5 Tm 2.65-2.76, 2 Os 2.71
Co  0.8029  0.1971  0.7500  5 Tm 2.65-2.76, 2 Os 2.71
Os  0.5000  0.5000  0.0000  2 Os 2.63, 2 Co 2.71
Os  0.5000  0.5000  0.5000  2 Os 2.63, 2 Co 2.71

Summary:
- Symmetry: Cmcm (63)
- E: -45.0 eV/cell
- Total moment: 0.4887 μB per atom
- DOS(E_F): 7.722 states/eV per cell

=====

Record 3
Entry from the Alexandria database: a geometry-optimized TbThGe4 structure (PBE-GGA).

Cell lengths 5.6676, 5.6676, 5.6676 Å; angles 60.00, 60.00, 60.00 degrees
Last column: nearest neighbours and their distance in Å.
Sites, in units of the cell vectors:
Tb  0.0000  0.0000  0.0000  12 Ge 3.32, 4 Th 3.47
Th  0.7500  0.7500  0.7500  12 Ge 3.33, 4 Tb 3.47
Ge  0.3735  0.3735  0.3735  6 Ge 2.80-2.87
Ge  0.3735  0.3735  0.8796  6 Ge 2.80-2.87
Ge  0.3735  0.8796  0.3735  6 Ge 2.80-2.87
Ge  0.8796  0.3735  0.3735  6 Ge 2.80-2.87

Summary:
- Symmetry: F-43m (216)
- E: -32.3 eV/cell
- Total moment: 0.0000 μB per atom
- DOS(E_F): 4.962 states/eV per cell

=====

Record 4
Entry from the Alexandria database: a geometry-optimized Ca2In8Cu structure (PBE-GGA).

Cell lengths 4.7955, 4.7955, 12.1087 Å; angles 90.00, 90.00, 90.00 degrees
Last column: nearest neighbours and their distance in Å.
Sites, in units of the cell vectors:
Ca  0.0000  0.0000  0.1902  12 In 3.28-3.39
Ca  0.0000  0.0000  0.8098  12 In 3.28-3.39
In  0.0000  0.5000  0.0000  4 Ca 3.32, 8 In 3.38-3.39
In  0.0000  0.5000  0.3754  2 Cu 2.83, 1 In 3.02
In  0.0000  0.5000  0.6246  2 Cu 2.83, 1 In 3.02
In  0.5000  0.0000  0.0000  4 Ca 3.32, 8 In 3.38-3.39
In  0.5000  0.0000  0.3754  2 Cu 2.83, 1 In 3.02
In  0.5000  0.0000  0.6246  2 Cu 2.83, 1 In 3.02
In  0.5000  0.5000  0.1967  8 In 3.23-3.38, 4 Ca 3.39
In  0.5000  0.5000  0.8033  8 In 3.23-3.38, 4 Ca 3.39
Cu  0.0000  0.0000  0.5000  8 In 2.83

Summary:
- Symmetry: P4/mmm (123)
- E: -32.5 eV/cell
- Total moment: 0.0000 μB per atom
- DOS(E_F): 4.227 states/eV per cell